[1]
Dy3Mg9Ag2 GGA-PBE relaxed; ΔE_f = -1.95 kcal/mol of atoms; space group = Immm (71)
1.0
-2.463 5.518 6.167
2.463 -5.518 6.167
2.463 5.518 -6.167
Dy Mg Ag
3 9 2
direct
0.000 0.000 0.000 Dy
0.287 0.287 0.000 Dy
0.713 0.713 0.000 Dy
0.001 0.633 0.368 Mg
0.139 0.863 0.276 Mg
0.265 0.633 0.632 Mg
0.413 0.137 0.276 Mg
0.500 0.000 0.500 Mg
0.587 0.863 0.724 Mg
0.735 0.367 0.368 Mg
0.861 0.137 0.724 Mg
0.999 0.367 0.632 Mg
0.347 0.500 0.847 Ag
0.653 0.500 0.153 Ag

---

[2]
Sr2MnSbH GGA-PBE relaxed; space group = P4/mmm (123); raw total energy = -3.768 eV per atom
1.0
5.937 0.000 0.000
0.000 5.937 0.000
0.000 0.000 4.809
Sr Mn Sb H
2 1 1 1
direct
0.000 0.500 0.000 Sr
0.500 0.000 0.000 Sr
0.000 0.000 0.000 Mn
0.000 0.000 0.500 Sb
0.500 0.500 0.500 H

---

[3]
PmDy2Er4Mg GGA-PBE relaxed; ΔE_f = 2.56 kcal/mol of atoms; space group = P2/m (10)
1.0
5.721 0.000 0.000
0.000 5.726 0.000
-0.006 0.000 7.463
Pm Dy Er Mg
1 2 4 1
direct
0.000 0.000 0.000 Pm
0.000 0.000 0.500 Dy
0.500 0.500 0.500 Dy
0.000 0.500 0.244 Er
0.000 0.500 0.756 Er
0.500 0.000 0.243 Er
0.500 0.000 0.757 Er
0.500 0.500 0.000 Mg

---

[4]
Rb2AuO3 GGA-PBE relaxed; ΔE_f (raw) = -555 meV/atom; space group = P6_3/mmc (194)
1.0
6.684 0.000 0.000
-3.342 5.789 0.000
0.000 0.000 8.358
Rb Au O
4 2 6
direct
0.000 0.000 0.000 Rb
0.000 0.000 0.500 Rb
0.333 0.667 0.250 Rb
0.667 0.333 0.750 Rb
0.333 0.667 0.750 Au
0.667 0.333 0.250 Au
0.167 0.335 0.750 O
0.167 0.833 0.750 O
0.335 0.167 0.250 O
0.665 0.833 0.750 O
0.833 0.167 0.250 O
0.833 0.665 0.250 O

---

[5]
Nd5Sm2Ir4 GGA-PBE relaxed; ΔE_f = -7.15 kcal/mol of atoms; space group = C2/m (12)
1.0
12.356 -1.910 0.000
12.356 1.910 0.000
-0.391 0.000 7.034
Nd Sm Ir
5 2 4
direct
0.000 0.000 0.000 Nd
0.270 0.270 0.290 Nd
0.367 0.367 0.813 Nd
0.633 0.633 0.187 Nd
0.730 0.730 0.710 Nd
0.415 0.415 0.357 Sm
0.585 0.585 0.643 Sm
0.168 0.168 0.485 Ir
0.474 0.474 0.702 Ir
0.526 0.526 0.298 Ir
0.832 0.832 0.515 Ir

---

[6]
CdFe2Si GGA-PBE relaxed; ΔE_f (raw) = 128 meV/atom; space group = P4mm (99)
1.0
2.978 0.000 0.000
0.000 2.978 0.000
0.000 0.000 6.498
Cd Fe Si
1 2 1
direct
0.000 0.000 0.000 Cd
0.000 0.000 0.492 Fe
0.500 0.500 0.284 Fe
0.500 0.500 0.665 Si

---

[7]
PmCdPd GGA-PBE relaxed; ΔE_f = -10.88 kcal/mol of atoms; space group = R-3m (166)
1.0
2.513 1.451 7.074
-2.513 1.451 7.074
0.000 -2.902 7.074
Pm Cd Pd
2 2 2
direct
0.113 0.113 0.113 Pm
0.887 0.887 0.887 Pm
0.379 0.379 0.379 Cd
0.621 0.621 0.621 Cd
0.250 0.250 0.250 Pd
0.750 0.750 0.750 Pd

---

[8]
AcTbPrNd2 GGA-PBE relaxed; ΔE_f = 7.63 kcal/mol of atoms; space group = Cmcm (63)
1.0
4.186 -6.173 0.000
4.186 6.173 0.000
0.000 0.000 7.448
Ac Tb Pr Nd
2 2 2 4
direct
0.242 0.758 0.750 Ac
0.758 0.242 0.250 Ac
0.307 0.693 0.250 Tb
0.693 0.307 0.750 Tb
0.060 0.940 0.250 Pr
0.940 0.060 0.750 Pr
0.304 0.304 0.000 Nd
0.304 0.304 0.500 Nd
0.696 0.696 0.000 Nd
0.696 0.696 0.500 Nd

---

Record order is preserved below.
Mass density: 4.57 3.46 7.90 4.27 8.96 7.27 7.80 7.04 Mg/m³